A plane-wave DFT calculation with PBE+U was carried out for crystalline Cs2PaWO6 at its relaxed geometry.

a b c (Å): 6.0675 6.0675 6.1363
angles (deg): 119.63 119.63 90.00
With the nearest neighbours (Å) after each atom.
Element x y z (fractional)
O (0.7514, 0.7519, 0.9998)  1 W 2.13, 1 Pa 2.16
O (0.2484, 0.7519, 0.9998)  1 W 2.13, 1 Pa 2.16
O (0.2207, 0.2212, 0.4413)  1 W 1.94
O (0.7514, 0.2489, 0.9998)  1 W 2.13, 1 Pa 2.16
O (0.7791, 0.7796, 0.5583)  1 W 1.94
O (0.2484, 0.2489, 0.9998)  1 W 2.13, 1 Pa 2.16
Pa (0.4999, 0.5004, 0.9998)  4 O 2.16
Cs (0.7499, 0.2504, 0.4998)  12 O 3.04-3.07
Cs (0.2499, 0.7504, 0.4998)  12 O 3.04-3.07
W (0.9999, 0.0004, 0.9998)  6 O 1.94-2.13

Summary:
Space group = No. 139
Total moment = 1.0 μB/cell
E_tot = -0.2671 hartree per atom
Calculated density = 7.99 g/cm3